{
  "formula": "BaTlCd17",
  "functional": "PBE",
  "state": "relaxed",
  "total_magnetization_mub_per_atom": 0.0000,
  "n_ef_per_ev_cell": 6.13,
  "crystal_system": "trigonal",
  "space_group": "R3m",
  "formation_energy_ev_per_atom": -0.083,
  "lattice_angstrom": [[7.787, 0.032, 0.955], [0.849, 7.741, 0.955], [0.036, 0.032, 7.845]],
  "species": ["Cd", "Cd", "Cd", "Cd", "Cd", "Cd", "Cd", "Cd", "Cd", "Cd", "Cd", "Cd", "Cd", "Cd", "Cd", "Cd", "Cd", "Tl", "Ba"],
  "frac_coords": [[0.002, 0.293, 0.701], [0.110, 0.110, 0.110], [0.351, 0.351, 0.859], [0.173, 0.634, 0.634], [0.293, 0.002, 0.701], [0.351, 0.859, 0.351], [0.701, 0.002, 0.293], [0.634, 0.173, 0.634], [0.984, 0.516, 0.984], [0.002, 0.701, 0.293], [0.701, 0.293, 0.002], [0.293, 0.701, 0.002], [0.516, 0.984, 0.984], [0.634, 0.634, 0.173], [0.907, 0.907, 0.907], [0.859, 0.351, 0.351], [0.984, 0.984, 0.516], [0.345, 0.345, 0.345], [0.661, 0.661, 0.661]]
}



{
  "formula": "YSc2MnAu",
  "functional": "PBE",
  "state": "relaxed",
  "total_magnetization_mub_per_atom": 0.0001,
  "n_ef_per_ev_cell": 7.11,
  "crystal_system": "tetragonal",
  "space_group": "P4/mmm",
  "formation_energy_ev_per_atom": 1.280,
  "lattice_angstrom": [[-4.792, 1.585, -1.366], [1.042, -0.450, -4.178], [-1.671, -4.953, 0.117]],
  "species": ["Sc", "Sc", "Y", "Mn", "Au"],
  "frac_coords": [[0.500, 0.000, 0.000], [0.000, 0.000, 0.500], [0.000, 0.000, 0.000], [0.000, 0.500, 0.000], [0.500, 0.500, 0.500]]
}



{
  "formula": "BaTaRe2",
  "functional": "PBE",
  "state": "relaxed",
  "total_magnetization_mub_per_atom": 0.0000,
  "n_ef_per_ev_cell": 3.58,
  "crystal_system": "orthorhombic",
  "polymorph_energy_ev_per_fu": 3.051,
  "space_group": "Pmmm",
  "formation_energy_ev_per_atom": 1.413,
  "lattice_angstrom": [[3.193, 0.000, 0.000], [0.000, 5.027, 0.000], [0.000, 0.000, 4.779]],
  "species": ["Ta", "Re", "Re", "Ba"],
  "frac_coords": [[0.500, 0.000, 0.500], [0.500, 0.500, 0.000], [0.000, 0.000, 0.000], [0.000, 0.500, 0.500]]
}



What did the third record say?
{
  "formula": "BaTaRe2",
  "functional": "PBE",
  "state": "relaxed",
  "total_magnetization_mub_per_atom": 0.0000,
  "n_ef_per_ev_cell": 3.58,
  "crystal_system": "orthorhombic",
  "polymorph_energy_ev_per_fu": 3.051,
  "space_group": "Pmmm",
  "formation_energy_ev_per_atom": 1.413,
  "lattice_angstrom": [[3.193, 0.000, 0.000], [0.000, 5.027, 0.000], [0.000, 0.000, 4.779]],
  "species": ["Ta", "Re", "Re", "Ba"],
  "frac_coords": [[0.500, 0.000, 0.500], [0.500, 0.500, 0.000], [0.000, 0.000, 0.000], [0.000, 0.500, 0.500]]
}